An optimized crystal structure of PmSc2Al9. Source: Alexandria via LeMat-Bulk, functional PBE.

Values from the calculation:
ρ	3.5	g/cm3
spin magnetization	0.0	μB/cell
ΔE_f	-350	meV per atom
E	-0.339	Ry per atom
symmetry	R-3m, No. 166

Cell lengths 9.2191, 9.2191, 9.2191 Å; angles 34.57, 34.57, 34.57 degrees
Positions (direct):
Pm 0.0000 0.0000 0.0000
Sc 0.1431 0.1431 0.1431
Sc 0.8569 0.8569 0.8569
Al 0.0780 0.5896 0.5896
Al 0.3355 0.3355 0.3355
Al 0.4104 0.4104 0.9220
Al 0.4104 0.9220 0.4104
Al 0.5000 0.5000 0.5000
Al 0.5896 0.0780 0.5896
Al 0.5896 0.5896 0.0780
Al 0.6645 0.6645 0.6645
Al 0.9220 0.4104 0.4104



An optimized crystal structure of Ti2FeCo3. Source: Alexandria via LeMat-Bulk, functional PBE.

Values from the calculation:
ρ	7.2	g/cm3
spin magnetization	5.7	μB/cell
ΔE_f	-267	meV per atom
E	-0.578	Ry per atom
symmetry	P-3m1, No. 164

Cell lengths 4.1568, 4.1568, 5.0421 Å; angles 90.00, 90.00, 120.00 degrees
Positions (direct):
Ti 0.3333 0.6667 0.1820
Ti 0.6667 0.3333 0.8180
Fe 0.0000 0.0000 0.5000
Co 0.0000 0.0000 0.0000
Co 0.3333 0.6667 0.6754
Co 0.6667 0.3333 0.3246



An optimized crystal structure of Sm2MgZn4Ga3. Source: Alexandria via LeMat-Bulk, functional PBE.

Values from the calculation:
ρ	6.8	g/cm3
spin magnetization	0.0	μB/cell
ΔE_f	-424	meV per atom
E	-0.216	Ry per atom
symmetry	P-4m2, No. 115

Cell lengths 4.2443, 4.2443, 10.8234 Å; angles 90.00, 90.00, 90.00 degrees
Positions (direct):
Sm 0.0000 0.5000 0.2357
Sm 0.5000 0.0000 0.7643
Mg 0.0000 0.0000 0.5000
Zn 0.0000 0.0000 0.0000
Zn 0.0000 0.5000 0.6435
Zn 0.5000 0.0000 0.3565
Zn 0.5000 0.5000 0.0000
Ga 0.0000 0.5000 0.8673
Ga 0.5000 0.0000 0.1327
Ga 0.5000 0.5000 0.5000



An optimized crystal structure of BaS2Cl. Source: Alexandria via LeMat-Bulk, functional PBE.

Values from the calculation:
ρ	3.7	g/cm3
ΔE to the lowest computed polymorph	709	meV/atom
spin magnetization	0.0	μB/cell
E	-0.258	Ry per atom
formation energy (no corrections)	-0.511	eV per atom
symmetry	R-3m, No. 166

Cell lengths 5.0338, 5.0338, 14.6693 Å; angles 90.00, 90.00, 120.00 degrees
Positions (direct):
Ba 0.0000 0.0000 0.0000
Ba 0.3333 0.6667 0.6667
Ba 0.6667 0.3333 0.3333
S 0.0000 0.0000 0.2040
S 0.0000 0.0000 0.7960
S 0.3333 0.6667 0.4627
S 0.3333 0.6667 0.8706
S 0.6667 0.3333 0.1294
S 0.6667 0.3333 0.5373
Cl 0.0000 0.0000 0.5000
Cl 0.3333 0.6667 0.1667
Cl 0.6667 0.3333 0.8333